A relaxed structure of Zr2CrMoAu, computed with GGA-PBE.

total energy: -36.025 eV for the cell shown

a b c (Å): 4.655 4.655 4.846
angles (deg): 90.00 90.00 90.00
Space group P4/mmm (No. 123)
Inequivalent atoms, fractional coordinates:
Zr 0.000 0.500 0.000
Cr 0.000 0.000 0.000
Mo 0.500 0.500 0.500
Au 0.000 0.000 0.500

---

A relaxed structure of Zr2GeRh5, computed with GGA-PBE.

total energy: -130.448 eV for the cell shown

a b c (Å): 5.608 11.027 4.056
angles (deg): 90.00 90.00 90.00
Space group Pbam (No. 55)
Inequivalent atoms, fractional coordinates:
Zr 0.185 0.140 0.000
Ge 0.000 0.500 0.500
Rh 0.000 0.000 0.500
Rh 0.061 0.745 0.500
Rh 0.192 0.392 0.000

---

A relaxed structure of TaHAu3, computed with GGA-PBE.

ΔE to the lowest computed polymorph: 825 meV/atom

a b c (Å): 5.182 5.182 5.182
angles (deg): 90.00 90.00 90.00
Space group Pm-3m (No. 221)
Inequivalent atoms, fractional coordinates:
Ta 0.000 0.000 0.000
H 0.500 0.500 0.500
Au 0.000 0.000 0.500

---

A relaxed structure of As3Cl, computed with GGA-PBE.

ΔE to the lowest computed polymorph: 468 meV/atom
energy relative to the elements, uncorrected: 1.9 eV/f.u.

a b c (Å): 4.980 4.980 3.153
angles (deg): 90.00 90.00 90.00
Space group P4/mmm (No. 123)
Inequivalent atoms, fractional coordinates:
As 0.000 0.000 0.000
As 0.000 0.500 0.500
Cl 0.500 0.500 0.000